Entry from Alexandria via LeMat-Bulk: a relaxed K2BaRu2 crystal (GGA-PBE).

a = 4.882 Å, b = 4.882 Å, c = 14.751 Å
α = 90.00°, β = 90.00°, γ = 90.00°
Space group I4/mmm (No. 139)
One atom of each set of equivalent atoms:
K 0.000 0.500 0.250 [4 per cell]
Ba 0.000 0.000 0.000 [2 per cell]
Ru 0.000 0.000 0.423 [4 per cell]

Values from the calculation:
**Crystal system**: tetragonal
**Calculated volume**: 351.64 Å³ per cell
**Calculated formation energy**: 0.958 eV/atom
**ΔE to the lowest computed polymorph**: 0 meV/atom
**N(E_F)**: 3.05 states/eV/f.u.